First-principles (PBE+U) data for an optimized crystal structure of Nd2PuNiO8, as listed in the Alexandria database.

Unit cell a=4.315 b=5.306 c=7.547 alpha=99.67 beta=85.63 gamma=99.92
Atoms (fractional coordinates):
O  0.329  0.249  0.459
Ni  0.000  0.000  0.500
O  0.963  0.181  0.740
Pu  0.000  0.000  0.000
O  0.671  0.751  0.541
O  0.590  0.777  0.010
O  0.905  0.280  0.176
O  0.410  0.223  0.990
O  0.037  0.819  0.260
Nd  0.537  0.440  0.731
O  0.095  0.720  0.824
Nd  0.463  0.560  0.269

Calculated values
- uncorrected energy (eV per cell) = -94.48